(1)
Here is an optimized crystal structure of Mg3ZrIr from Alexandria via LeMat-Bulk. Energies are from PBE.

DOS(E_F) = 9.95 states/eV per cell
distance to the lowest polymorph of the same formula = 157.67 kJ/mol of atoms
crystal system = cubic
space-group type = Pm-3m, No. 221

Cell lengths 5.2306, 5.2306, 5.2306 Å; angles 90.00, 90.00, 90.00 degrees
Fractional coordinates of all 5 atoms:
Mg 0.0000 0.0000 0.5000
Mg 0.0000 0.5000 0.0000
Mg 0.5000 0.0000 0.0000
Zr 0.0000 0.0000 0.0000
Ir 0.5000 0.5000 0.5000

(2)
Here is an optimized crystal structure of AlAu from Alexandria via LeMat-Bulk. Energies are from PBE.

DOS(E_F) = 3.77 states/eV per cell
crystal system = hexagonal
space-group type = P6_3/mcm, No. 193

Cell lengths 7.4601, 7.4601, 4.8182 Å; angles 90.00, 90.00, 120.00 degrees
Fractional coordinates of all 12 atoms:
Al 0.0000 0.2488 0.2500
Al 0.0000 0.7512 0.7500
Al 0.2488 0.0000 0.2500
Al 0.2488 0.2488 0.7500
Al 0.7512 0.0000 0.7500
Al 0.7512 0.7512 0.2500
Au 0.0000 0.3951 0.7500
Au 0.0000 0.6049 0.2500
Au 0.3951 0.0000 0.7500
Au 0.3951 0.3951 0.2500
Au 0.6049 0.0000 0.2500
Au 0.6049 0.6049 0.7500

(3)
Here is an optimized crystal structure of VCo2Mo from Alexandria via LeMat-Bulk. Energies are from PBE.

DOS(E_F) = 21.24 states/eV per cell
distance to the lowest polymorph of the same formula = 44.66 kJ/mol of atoms
crystal system = tetragonal
space-group type = I-42d, No. 122

Cell lengths 6.4652, 6.4652, 5.0476 Å; angles 90.00, 90.00, 90.00 degrees
Fractional coordinates of all 16 atoms:
V 0.0000 0.0000 0.0000
V 0.0000 0.5000 0.2500
V 0.5000 0.0000 0.7500
V 0.5000 0.5000 0.5000
Co 0.2339 0.7500 0.1250
Co 0.2500 0.2339 0.8750
Co 0.2500 0.2661 0.3750
Co 0.2661 0.7500 0.6250
Co 0.7339 0.2500 0.6250
Co 0.7500 0.7339 0.3750
Co 0.7500 0.7661 0.8750
Co 0.7661 0.2500 0.1250
Mo 0.0000 0.0000 0.5000
Mo 0.0000 0.5000 0.7500
Mo 0.5000 0.0000 0.2500
Mo 0.5000 0.5000 0.0000

(4)
Here is an optimized crystal structure of LaHo12Tm7 from Alexandria via LeMat-Bulk. Energies are from PBE.

DOS(E_F) = 34.02 states/eV per cell
crystal system = trigonal
space-group type = R-3, No. 148

Cell lengths 8.6520, 8.6520, 8.6520 Å; angles 87.00, 87.00, 87.00 degrees
Fractional coordinates of all 20 atoms:
La 0.0000 0.0000 0.0000
Ho 0.1050 0.3454 0.4331
Ho 0.2330 0.7617 0.3527
Ho 0.2383 0.6473 0.7670
Ho 0.3454 0.4331 0.1050
Ho 0.3527 0.2330 0.7617
Ho 0.4331 0.1050 0.3454
Ho 0.5669 0.8950 0.6546
Ho 0.6473 0.7670 0.2383
Ho 0.6546 0.5669 0.8950
Ho 0.7617 0.3527 0.2330
Ho 0.7670 0.2383 0.6473
Ho 0.8950 0.6546 0.5669
Tm 0.0023 0.3712 0.8746
Tm 0.1254 0.9977 0.6288
Tm 0.3712 0.8746 0.0023
Tm 0.5000 0.5000 0.5000
Tm 0.6288 0.1254 0.9977
Tm 0.8746 0.0023 0.3712
Tm 0.9977 0.6288 0.1254

no.,formation enthalpy at 0 K (eV/atom),size of the total moment (μB/f.u.)
1,1.945,0.01
2,-0.311,0.00
3,0.410,0.00
4,0.239,0.00